Record 1
VASP calculation (PBE) on a geometry-optimized TcAsSe2O structure.

Computed properties:
Energy relative to the elements, uncorrected (kJ per mole of atoms): 77.9
Excess energy over the best structure of this formula in the dataset (eV per formula unit): 0.68
Symmetry: No. 123
E_tot (eV for the cell shown): -22.9

a = 4.7248 Å, b = 4.7248 Å, c = 4.9047 Å
α = 90.00°, β = 90.00°, γ = 90.00°
Atoms (fractional coordinates):
Tc 0.0000 0.0000 0.0000
As 0.0000 0.0000 0.5000
Se 0.0000 0.5000 0.0000
Se 0.5000 0.0000 0.0000
O 0.5000 0.5000 0.5000


Record 2
VASP calculation (PBE) on a geometry-optimized AgBi6Pd12 structure.

Computed properties:
Symmetry: No. 148
E_tot (eV for the cell shown): -92.3
Formation enthalpy at 0 K (eV/f.u.): -3.8

a = 7.6446 Å, b = 7.6446 Å, c = 7.6446 Å
α = 106.62°, β = 106.62°, γ = 106.62°
Atoms (fractional coordinates):
Ag 0.0000 0.0000 0.0000
Bi 0.0886 0.2155 0.4739
Bi 0.2155 0.4739 0.0886
Bi 0.4739 0.0886 0.2155
Bi 0.5261 0.9114 0.7845
Bi 0.7845 0.5261 0.9114
Bi 0.9114 0.7845 0.5261
Pd 0.1276 0.8417 0.2728
Pd 0.1583 0.7272 0.8724
Pd 0.1837 0.5916 0.4728
Pd 0.2728 0.1276 0.8417
Pd 0.4084 0.5272 0.8163
Pd 0.4728 0.1837 0.5916
Pd 0.5272 0.8163 0.4084
Pd 0.5916 0.4728 0.1837
Pd 0.7272 0.8724 0.1583
Pd 0.8163 0.4084 0.5272
Pd 0.8417 0.2728 0.1276
Pd 0.8724 0.1583 0.7272